4
Lattice="-3.2431 1.0141 1.6577 -1.0917 -3.6188 0.0781 1.6075 -0.4117 3.3968" Properties=species:S:1:pos:R:3 comment="LiBe2In (PBE, optimized geometry)" magnetic_moment_mub_per_cell=0.00 pbc="T T T"
In -0.8178 0.3012 2.5272
Be -2.1674 -1.3024 0.8679
Be 0.0000 0.0000 0.0000
Li 0.2579 -2.0152 1.7374

---

4
Lattice="-3.2036 -1.3459 -2.8735 -3.9036 -2.2453 -0.2294 -2.8668 3.5232 0.4395" Properties=species:S:1:pos:R:3 comment="LiBe2In (PBE, optimized geometry)" magnetic_moment_mub_per_cell=0.00 pbc="T T T"
Be -4.9031 -0.2217 -1.3733
Be -7.1912 -3.4035 -3.0613
In -7.4806 -0.0510 -1.9976
Li -2.4935 -0.0170 -0.6659

---

4
Lattice="-4.9726 7.5204 1.4819 -6.8948 5.9897 -0.2549 -6.8006 5.4683 2.7071" Properties=species:S:1:pos:R:3 comment="Li2BeIn (PBE, optimized geometry)" magnetic_moment_mub_per_cell=0.00 relative_energy_mev_per_atom=361 pbc="T T T"
Li -9.4574 9.6147 1.9931
Li -18.5446 18.8530 3.9081
In -14.0010 14.2339 2.9506
Be -4.6670 4.7446 0.9835

---

5
Lattice="4.9543 0.0000 0.0000 0.0000 4.9543 0.0000 0.0000 0.0000 4.9543" Properties=species:S:1:pos:R:3 comment="LiBeIn3 (PBE, optimized geometry)" magnetic_moment_mub_per_cell=0.00 relative_energy_mev_per_atom=0 pbc="T T T"
In 2.4772 0.0000 0.0000
In 0.0000 0.0000 2.4772
In 0.0000 2.4772 0.0000
Be 0.0000 0.0000 0.0000
Li 2.4772 2.4772 2.4772

---

Calculated formation enthalpy at 0 K, 0.30 0.37 0.29 0.22 eV/atom (same order as the records).